Record 1
# Ac2PdRhO6, optimized geometry, DFT PBE-GGA
# - formation energy (no corrections) (meV per atom) = -1876
# - calculated volume (Å³/atom) = 13.85
data_Ac2PdRhO6
_cell_length_a 5.7370
_cell_length_b 5.7370
_cell_length_c 4.2077
_cell_angle_alpha 90.00
_cell_angle_beta 90.00
_cell_angle_gamma 90.00
_symmetry_space_group_name_H-M 'P 4 m m'
_symmetry_Int_Tables_number 99
_symmetry_space_group_name_Hall 'P 4 -2'
loop_
_atom_site_label
_atom_site_fract_x
_atom_site_fract_y
_atom_site_fract_z
_atom_site_occupancy
Ac1 0.0000 0.5000 0.0000 1
Pd1 0.0000 0.0000 0.5359 1
Rh1 0.5000 0.5000 0.5303 1
O1 0.0000 0.0000 0.0454 1
O2 0.2533 0.2533 0.6044 1
O3 0.5000 0.5000 0.0495 1

---

Record 2
# Ac5Pd2RhO, optimized geometry, DFT PBE-GGA
# - formation energy (no corrections) (meV per atom) = -1113
# - calculated volume (Å³/atom) = 30.31
data_Ac5Pd2RhO
_cell_length_a 4.2911
_cell_length_b 18.6146
_cell_length_c 13.6582
_cell_angle_alpha 90.00
_cell_angle_beta 90.00
_cell_angle_gamma 90.00
_symmetry_space_group_name_H-M 'C m c 21'
_symmetry_Int_Tables_number 36
_symmetry_space_group_name_Hall 'C 2c -2'
loop_
_atom_site_label
_atom_site_fract_x
_atom_site_fract_y
_atom_site_fract_z
_atom_site_occupancy
Ac1 0.0000 0.0019 0.0000 1
Ac2 0.0000 0.1437 0.2497 1
Ac3 0.0000 0.1914 0.6110 1
Ac4 0.0000 0.2072 0.9119 1
Ac5 0.0000 0.4590 0.2385 1
Pd1 0.0000 0.3784 0.5706 1
Pd2 0.0000 0.3866 0.9225 1
Rh1 0.0000 0.2982 0.2629 1
O1 0.0000 0.0557 0.6577 1

---

Record 3
# AcPd3Rh4O12, optimized geometry, DFT PBE-GGA
# - formation energy (no corrections) (meV per atom) = -963
# - calculated volume (Å³/atom) = 11.45
data_AcPd3Rh4O12
_cell_length_a 7.7086
_cell_length_b 7.7086
_cell_length_c 7.7086
_cell_angle_alpha 90.00
_cell_angle_beta 90.00
_cell_angle_gamma 90.00
_symmetry_space_group_name_H-M 'I m -3'
_symmetry_Int_Tables_number 204
_symmetry_space_group_name_Hall '-I 2 2 3'
loop_
_atom_site_label
_atom_site_fract_x
_atom_site_fract_y
_atom_site_fract_z
_atom_site_occupancy
Ac1 0.0000 0.0000 0.0000 1
Pd1 0.0000 0.0000 0.5000 1
Rh1 0.2500 0.2500 0.2500 1
O1 0.0000 0.1735 0.3026 1

---

| no. | total magnetic moment (μB per formula unit) |
| --- | --- |
| 1 | 0.00 |
| 2 | 0.07 |
| 3 | 0.00 |